[1]
# K2NiMoO4 | the Alexandria database | PBE+U | optimized geometry
data_K2NiMoO4
_cell_length_a 5.6185
_cell_length_b 5.6185
_cell_length_c 5.6185
_cell_angle_alpha 113.62
_cell_angle_beta 113.62
_cell_angle_gamma 101.45
_space_group_name_H-M_alt 'P 1'
_space_group_IT_number 1
loop_
_space_group_symop_operation_xyz
'x,y,z'
loop_
_atom_site_label
_atom_site_fract_x
_atom_site_fract_y
_atom_site_fract_z
K1 0.0000 0.0000 0.0000
K2 0.7500 0.2500 0.5000
Ni1 0.5000 0.5000 0.0000
Mo1 0.2500 0.7500 0.5000
O1 0.2803 0.1149 0.5712
O2 0.2910 0.7197 0.8346
O3 0.5436 0.7090 0.4288
O4 0.8851 0.4564 0.1654
# Calculated density = 3663 kg/m³
# Total DFT energy (no corrections) = -42.61 eV/cell

[2]
# K2NiMo2O8 | the Alexandria database | PBE+U | optimized geometry
data_K2NiMo2O8
_cell_length_a 10.5965
_cell_length_b 10.5965
_cell_length_c 11.0664
_cell_angle_alpha 90.00
_cell_angle_beta 90.00
_cell_angle_gamma 132.15
_space_group_name_H-M_alt 'P 1'
_space_group_IT_number 1
loop_
_space_group_symop_operation_xyz
'x,y,z'
loop_
_atom_site_label
_atom_site_fract_x
_atom_site_fract_y
_atom_site_fract_z
K1 0.0369 0.4631 0.7500
K2 0.1321 0.8679 0.9280
K3 0.3679 0.6321 0.4280
K4 0.4631 0.0369 0.2500
K5 0.5369 0.9631 0.7500
K6 0.6321 0.3679 0.5720
K7 0.8679 0.1321 0.0720
K8 0.9631 0.5369 0.2500
Ni1 0.1781 0.1781 0.5000
Ni2 0.3219 0.3219 0.0000
Ni3 0.6781 0.6781 0.0000
Ni4 0.8219 0.8219 0.5000
Mo1 0.0316 0.9684 0.2155
Mo2 0.1572 0.8428 0.5350
Mo3 0.3428 0.6572 0.0350
Mo4 0.4684 0.5316 0.7155
Mo5 0.5316 0.4684 0.2845
Mo6 0.6572 0.3428 0.9650
Mo7 0.8428 0.1572 0.4650
Mo8 0.9684 0.0316 0.7845
O1 0.0004 0.9996 0.3731
O2 0.9996 0.0004 0.6269
O3 0.0673 0.2848 0.4976
O4 0.1232 0.8768 0.2037
O5 0.1614 0.1648 0.1352
O6 0.1648 0.1614 0.8648
O7 0.1864 0.8136 0.6887
O8 0.2152 0.4327 0.0024
O9 0.2319 0.7681 0.4403
O10 0.2681 0.7319 0.9403
O11 0.2848 0.0673 0.5024
O12 0.3136 0.6864 0.1887
O13 0.3352 0.3386 0.3648
O14 0.3386 0.3352 0.6352
O15 0.3768 0.6232 0.7037
O16 0.4327 0.2152 0.9976
O17 0.5004 0.4996 0.1269
O18 0.4996 0.5004 0.8731
O19 0.5673 0.7848 0.0024
O20 0.6232 0.3768 0.2963
O21 0.6614 0.6648 0.3648
O22 0.6648 0.6614 0.6352
O23 0.6864 0.3136 0.8113
O24 0.7152 0.9327 0.4976
O25 0.7319 0.2681 0.0597
O26 0.7681 0.2319 0.5597
O27 0.7848 0.5673 0.9976
O28 0.8136 0.1864 0.3113
O29 0.8352 0.8386 0.1352
O30 0.8386 0.8352 0.8648
O31 0.8768 0.1232 0.7963
O32 0.9327 0.7152 0.5024
# Calculated density = 3293 kg/m³
# Total DFT energy (no corrections) = -323.30 eV/cell